No. 1
! LiScCo2 PBE-GGA optimized geometry; values from VASP
! - Formation enthalpy at 0 K: 0.27 eV per atom
! - E: -5.34 eV/atom
! - Energy above the most stable polymorph in this dataset: 243.2 meV/atom
! - Spin magnetization: 0.19 μB per atom
&SYSTEM
  ibrav = 0, nat = 4, ntyp = 3
/
ATOMIC_SPECIES
Co 58.93 Co.upf
Li 6.94 Li.upf
Sc 44.96 Sc.upf
CELL_PARAMETERS angstrom
-7.240 2.578 2.730
-7.658 -0.246 2.795
-6.368 1.057 4.985
ATOMIC_POSITIONS crystal
Co 0.001 0.001 0.001
Co 0.499 0.499 0.499
Li 0.250 0.250 0.250
Sc 0.750 0.750 0.750


No. 2
! Li2ScCo2 PBE-GGA optimized geometry; values from VASP
! - Formation enthalpy at 0 K: 0.17 eV per atom
! - E: -4.70 eV/atom
! - Energy above the most stable polymorph in this dataset: 0.0 meV/atom
! - Spin magnetization: 0.44 μB per atom
&SYSTEM
  ibrav = 0, nat = 5, ntyp = 3
/
ATOMIC_SPECIES
Sc 44.96 Sc.upf
Co 58.93 Co.upf
Li 6.94 Li.upf
CELL_PARAMETERS angstrom
-0.463 -0.167 -3.547
3.526 -0.445 -0.439
0.827 -6.249 -1.622
ATOMIC_POSITIONS crystal
Sc 0.000 0.000 0.000
Co 0.410 0.410 0.180
Co 0.590 0.590 0.820
Li 0.750 0.250 0.500
Li 0.250 0.750 0.500


No. 3
! Li2ScCo PBE-GGA optimized geometry; values from VASP
! - Formation enthalpy at 0 K: 0.16 eV per atom
! - E: -4.16 eV/atom
! - Energy above the most stable polymorph in this dataset: 126.5 meV/atom
! - Spin magnetization: 0.00 μB per atom
&SYSTEM
  ibrav = 0, nat = 8, ntyp = 3
/
ATOMIC_SPECIES
Sc 44.96 Sc.upf
Co 58.93 Co.upf
Li 6.94 Li.upf
CELL_PARAMETERS angstrom
3.562 0.000 0.000
0.000 3.562 0.000
1.781 1.781 10.170
ATOMIC_POSITIONS crystal
Sc 0.500 0.500 0.000
Sc 0.250 0.750 0.500
Co 0.000 0.000 0.000
Co 0.750 0.250 0.500
Li 0.092 0.125 0.250
Li 0.658 0.625 0.250
Li 0.375 0.908 0.750
Li 0.875 0.342 0.750


No. 4
! Li2ScCo PBE-GGA optimized geometry; values from VASP
! - Formation enthalpy at 0 K: 0.36 eV per atom
! - E: -3.95 eV/atom
! - Energy above the most stable polymorph in this dataset: 331.8 meV/atom
! - Spin magnetization: 0.37 μB per atom
&SYSTEM
  ibrav = 0, nat = 4, ntyp = 3
/
ATOMIC_SPECIES
Co 58.93 Co.upf
Li 6.94 Li.upf
Sc 44.96 Sc.upf
CELL_PARAMETERS angstrom
-2.224 -0.331 1.532
1.896 -1.647 1.047
2.847 6.846 5.614
ATOMIC_POSITIONS crystal
Co 0.500 0.500 0.750
Li 0.000 0.000 0.963
Li 0.000 0.000 0.537
Sc 0.500 0.500 0.250


No. 5
! LiScCo3 PBE-GGA optimized geometry; values from VASP
! - Formation enthalpy at 0 K: 0.51 eV per atom
! - E: -5.40 eV/atom
! - Energy above the most stable polymorph in this dataset: 0.0 meV/atom
! - Spin magnetization: 0.56 μB per atom
&SYSTEM
  ibrav = 0, nat = 5, ntyp = 3
/
ATOMIC_SPECIES
Sc 44.96 Sc.upf
Co 58.93 Co.upf
Li 6.94 Li.upf
CELL_PARAMETERS angstrom
4.020 0.000 0.000
0.000 4.020 0.000
0.000 0.000 4.020
ATOMIC_POSITIONS crystal
Sc 0.500 0.500 0.500
Co 0.000 0.500 0.000
Co 0.000 0.000 0.500
Co 0.500 0.000 0.000
Li 0.000 0.000 0.000


No. 6
! LiSc2Co PBE-GGA optimized geometry; values from VASP
! - Formation enthalpy at 0 K: 0.08 eV per atom
! - E: -5.34 eV/atom
! - Spin magnetization: 0.00 μB per atom
&SYSTEM
  ibrav = 0, nat = 4, ntyp = 3
/
ATOMIC_SPECIES
Sc 44.96 Sc.upf
Co 58.93 Co.upf
Li 6.94 Li.upf
CELL_PARAMETERS angstrom
-3.122 4.660 7.656
0.134 5.665 7.614
-2.173 7.278 5.691
ATOMIC_POSITIONS crystal
Sc 0.887 0.887 0.887
Sc 0.113 0.113 0.113
Co 0.500 0.500 0.500
Li 0.000 0.000 0.000


No. 7
! LiScCo2 PBE-GGA optimized geometry; values from VASP
! - Formation enthalpy at 0 K: 0.10 eV per atom
! - E: -5.52 eV/atom
! - Energy above the most stable polymorph in this dataset: 66.0 meV/atom
! - Spin magnetization: 0.76 μB per atom
&SYSTEM
  ibrav = 0, nat = 4, ntyp = 3
/
ATOMIC_SPECIES
Co 58.93 Co.upf
Li 6.94 Li.upf
Sc 44.96 Sc.upf
CELL_PARAMETERS angstrom
-2.025 0.734 -2.094
1.993 -0.645 -2.154
-2.151 -6.263 -0.114
ATOMIC_POSITIONS crystal
Co 0.000 0.000 0.045
Co 0.500 0.500 0.220
Li 0.000 0.000 0.443
Sc 0.500 0.500 0.792


No. 8
! Li2ScCo PBE-GGA optimized geometry; values from VASP
! - Formation enthalpy at 0 K: 0.27 eV per atom
! - E: -4.05 eV/atom
! - Energy above the most stable polymorph in this dataset: 234.3 meV/atom
! - Spin magnetization: 0.14 μB per atom
&SYSTEM
  ibrav = 0, nat = 4, ntyp = 3
/
ATOMIC_SPECIES
Co 58.93 Co.upf
Li 6.94 Li.upf
Sc 44.96 Sc.upf
CELL_PARAMETERS angstrom
-2.220 2.513 0.858
-2.512 -1.624 -1.741
-1.275 -2.574 4.240
ATOMIC_POSITIONS crystal
Co 0.500 0.500 0.750
Li 0.000 0.000 0.956
Li 0.000 0.000 0.544
Sc 0.500 0.500 0.250


No. 9
! LiScCo3 PBE-GGA optimized geometry; values from VASP
! - Formation enthalpy at 0 K: 1.21 eV per atom
! - E: -4.71 eV/atom
! - Energy above the most stable polymorph in this dataset: 697.8 meV/atom
! - Spin magnetization: 0.59 μB per atom
&SYSTEM
  ibrav = 0, nat = 5, ntyp = 3
/
ATOMIC_SPECIES
Sc 44.96 Sc.upf
Co 58.93 Co.upf
Li 6.94 Li.upf
CELL_PARAMETERS angstrom
4.493 0.000 0.000
0.000 4.493 0.000
0.000 0.000 4.493
ATOMIC_POSITIONS crystal
Sc 0.000 0.000 0.000
Co 0.000 0.500 0.000
Co 0.000 0.000 0.500
Co 0.500 0.000 0.000
Li 0.500 0.500 0.500


No. 10
! LiSc4Co3 PBE-GGA optimized geometry; values from VASP
! - Formation enthalpy at 0 K: -0.25 eV per atom
! - E: -6.32 eV/atom
! - Spin magnetization: 0.08 μB per atom
&SYSTEM
  ibrav = 0, nat = 8, ntyp = 3
/
ATOMIC_SPECIES
Sc 44.96 Sc.upf
Co 58.93 Co.upf
Li 6.94 Li.upf
CELL_PARAMETERS angstrom
-1.841 1.520 -3.769
0.213 -4.096 -1.756
-5.025 -0.012 5.090
ATOMIC_POSITIONS crystal
Sc 0.370 0.370 0.740
Sc 0.630 0.630 0.260
Sc 0.130 0.130 0.260
Sc 0.870 0.870 0.740
Co 0.000 0.500 0.000
Co 0.749 0.249 0.498
Co 0.251 0.751 0.502
Li 0.500 0.000 0.000


No. 11
! LiScCo2 PBE-GGA optimized geometry; values from VASP
! - Formation enthalpy at 0 K: 0.03 eV per atom
! - E: -5.58 eV/atom
! - Energy above the most stable polymorph in this dataset: 0.0 meV/atom
! - Spin magnetization: 0.49 μB per atom
&SYSTEM
  ibrav = 0, nat = 4, ntyp = 3
/
ATOMIC_SPECIES
Co 58.93 Co.upf
Li 6.94 Li.upf
Sc 44.96 Sc.upf
CELL_PARAMETERS angstrom
4.236 -0.009 0.000
0.034 4.236 0.000
-2.135 -2.113 2.986
ATOMIC_POSITIONS crystal
Co 0.000 0.000 0.000
Co 0.250 0.750 0.500
Li 0.500 0.500 0.000
Sc 0.750 0.250 0.500


No. 12
! LiSc2Co PBE-GGA optimized geometry; values from VASP
! - Formation enthalpy at 0 K: 0.10 eV per atom
! - E: -5.33 eV/atom
! - Spin magnetization: 0.00 μB per atom
&SYSTEM
  ibrav = 0, nat = 4, ntyp = 3
/
ATOMIC_SPECIES
Co 58.93 Co.upf
Li 6.94 Li.upf
Sc 44.96 Sc.upf
CELL_PARAMETERS angstrom
5.424 0.000 0.000
2.723 4.691 0.000
-4.073 -2.345 2.707
ATOMIC_POSITIONS crystal
Co 0.500 0.500 0.000
Li 0.750 0.250 0.500
Sc 0.000 0.000 0.000
Sc 0.250 0.750 0.500


No. 13
! LiScCo2 PBE-GGA optimized geometry; values from VASP
! - Formation enthalpy at 0 K: 0.10 eV per atom
! - E: -5.51 eV/atom
! - Energy above the most stable polymorph in this dataset: 70.7 meV/atom
! - Spin magnetization: 0.40 μB per atom
&SYSTEM
  ibrav = 0, nat = 4, ntyp = 3
/
ATOMIC_SPECIES
Co 58.93 Co.upf
Li 6.94 Li.upf
Sc 44.96 Sc.upf
CELL_PARAMETERS angstrom
4.556 -0.058 -0.004
3.262 3.182 -0.004
1.606 0.642 3.700
ATOMIC_POSITIONS crystal
Co 0.004 0.004 0.967
Co 0.496 0.496 0.533
Li 0.750 0.750 0.750
Sc 0.250 0.250 0.250


No. 14
! Li2ScCo PBE-GGA optimized geometry; values from VASP
! - Formation enthalpy at 0 K: 0.36 eV per atom
! - E: -3.96 eV/atom
! - Energy above the most stable polymorph in this dataset: 327.2 meV/atom
! - Spin magnetization: 0.32 μB per atom
&SYSTEM
  ibrav = 0, nat = 4, ntyp = 3
/
ATOMIC_SPECIES
Co 58.93 Co.upf
Li 6.94 Li.upf
Sc 44.96 Sc.upf
CELL_PARAMETERS angstrom
9.833 -0.005 -0.003
9.440 2.754 -0.003
9.440 1.346 2.402
ATOMIC_POSITIONS crystal
Co 0.750 0.750 0.750
Li 0.011 0.011 0.011
Li 0.489 0.489 0.489
Sc 0.250 0.250 0.250